No. 1
First-principles (PBE) data for a relaxed Sc2BeCoIr crystal, as listed in Alexandria.

Geometry as CIF:
```
data_Sc2BeCoIr
_space_group_name_H-M_alt 'P 4/m m m'
_space_group_IT_number 123
_space_group_name_Hall '-P 4 2'
_cell_length_a 4.9675
_cell_length_b 4.9675
_cell_length_c 4.1974
_cell_angle_alpha 90.00
_cell_angle_beta 90.00
_cell_angle_gamma 90.00
loop_
_atom_site_label
_atom_site_fract_x
_atom_site_fract_y
_atom_site_fract_z
Sc1 0.0000 0.5000 0.0000
Be1 0.0000 0.0000 0.5000
Co1 0.5000 0.5000 0.5000
Ir1 0.0000 0.0000 0.0000
```

Results
For the density of states at the Fermi level, the calculation gives 4.32 states/eV/cell. Its total magnetic moment is 1.38 Bohr magnetons per cell. The value obtained for the formation enthalpy at 0 K is 0.246 eV per atom.

---

No. 2
First-principles (PBE) data for a relaxed Ag2Bi3Pd8 crystal, as listed in Alexandria.

Geometry as CIF:
```
data_Ag2Bi3Pd8
_space_group_name_H-M_alt 'R -3 m'
_space_group_IT_number 166
_space_group_name_Hall '-R 3 2"'
_cell_length_a 5.3345
_cell_length_b 5.3345
_cell_length_c 31.1159
_cell_angle_alpha 90.00
_cell_angle_beta 90.00
_cell_angle_gamma 120.00
loop_
_atom_site_label
_atom_site_fract_x
_atom_site_fract_y
_atom_site_fract_z
Ag1 0.0000 0.0000 0.1375
Bi1 0.0000 0.0000 0.3105
Bi2 0.0000 0.0000 0.5000
Pd1 0.0000 0.0000 0.2235
Pd2 0.0018 0.5009 0.2707
```

Results
For the density of states at the Fermi level, the calculation gives 16.44 states/eV/cell. Its total magnetic moment is 0.00 Bohr magnetons per cell. The value obtained for the formation enthalpy at 0 K is 0.006 eV per atom.

---

No. 3
First-principles (PBE) data for a relaxed Cs2AlHg crystal, as listed in Alexandria.

Geometry as CIF:
```
data_Cs2AlHg
_space_group_name_H-M_alt 'I -4 2 d'
_space_group_IT_number 122
_space_group_name_Hall 'I -4 2bw'
_cell_length_a 10.3156
_cell_length_b 10.3156
_cell_length_c 7.6342
_cell_angle_alpha 90.00
_cell_angle_beta 90.00
_cell_angle_gamma 90.00
loop_
_atom_site_label
_atom_site_fract_x
_atom_site_fract_y
_atom_site_fract_z
Cs1 0.2385 0.2500 0.1250
Al1 0.0000 0.0000 0.5000
Hg1 0.0000 0.0000 0.0000
```

Results
For the density of states at the Fermi level, the calculation gives 14.96 states/eV/cell. The calculation puts the energy relative to the lowest polymorph listed for this composition at 92 meV per atom. Its total magnetic moment is 0.00 Bohr magnetons per cell. The value obtained for the formation enthalpy at 0 K is 0.343 eV per atom.

---

No. 4
First-principles (PBE) data for a relaxed UCo5Si3 crystal, as listed in Alexandria.

Geometry as CIF:
```
data_UCo5Si3
_space_group_name_H-M_alt 'C m c m'
_space_group_IT_number 63
_space_group_name_Hall '-C 2c 2'
_cell_length_a 3.6640
_cell_length_b 11.6027
_cell_length_c 11.2770
_cell_angle_alpha 90.00
_cell_angle_beta 90.00
_cell_angle_gamma 90.00
loop_
_atom_site_label
_atom_site_fract_x
_atom_site_fract_y
_atom_site_fract_z
U1 0.0000 0.1723 0.2500
Co1 0.0000 0.0000 0.0000
Co2 0.0000 0.1951 0.5691
Co3 0.0000 0.4500 0.1447
Si1 0.0000 0.1047 0.7500
Si2 0.0000 0.3814 0.5423
```

Results
For the density of states at the Fermi level, the calculation gives 50.26 states/eV/cell. Its total magnetic moment is 2.54 Bohr magnetons per cell. The calculation puts the uncorrected formation energy at -420 meV per atom.

---

No. 5
First-principles (PBE) data for a relaxed SmHo2Si6 crystal, as listed in Alexandria.

Geometry as CIF:
```
data_SmHo2Si6
_space_group_name_H-M_alt 'P 6/m m m'
_space_group_IT_number 191
_space_group_name_Hall '-P 6 2'
_cell_length_a 7.1042
_cell_length_b 7.1042
_cell_length_c 3.9657
_cell_angle_alpha 90.00
_cell_angle_beta 90.00
_cell_angle_gamma 120.00
loop_
_atom_site_label
_atom_site_fract_x
_atom_site_fract_y
_atom_site_fract_z
Sm1 0.0000 0.0000 0.0000
Ho1 0.3333 0.6667 0.0000
Si1 0.0000 0.3353 0.5000
```

Results
For the density of states at the Fermi level, the calculation gives 5.23 states/eV/cell. Its total magnetic moment is 0.00 Bohr magnetons per cell. The calculation puts the uncorrected formation energy at -529 meV per atom.

---

No. 6
First-principles (PBE) data for a relaxed Zr3P crystal, as listed in Alexandria.

Geometry as CIF:
```
data_Zr3P
_space_group_name_H-M_alt 'P -6 m 2'
_space_group_IT_number 187
_space_group_name_Hall 'P -6 2'
_cell_length_a 3.4060
_cell_length_b 3.4060
_cell_length_c 8.6115
_cell_angle_alpha 90.00
_cell_angle_beta 90.00
_cell_angle_gamma 120.00
loop_
_atom_site_label
_atom_site_fract_x
_atom_site_fract_y
_atom_site_fract_z
Zr1 0.0000 0.0000 0.0000
Zr2 0.6667 0.3333 0.2944
P1 0.0000 0.0000 0.5000
```

Results
For the density of states at the Fermi level, the calculation gives 4.09 states/eV/cell. The calculation puts the energy relative to the lowest polymorph listed for this composition at 371 meV per atom. Its total magnetic moment is 0.00 Bohr magnetons per cell. The value obtained for the formation enthalpy at 0 K is -0.491 eV per atom.

---

No. 7
First-principles (PBE) data for a relaxed BaGaBi crystal, as listed in Alexandria.

Geometry as CIF:
```
data_BaGaBi
_space_group_name_H-M_alt 'R 3 m'
_space_group_IT_number 160
_space_group_name_Hall 'R 3 -2"'
_cell_length_a 4.9325
_cell_length_b 4.9325
_cell_length_c 31.9353
_cell_angle_alpha 90.00
_cell_angle_beta 90.00
_cell_angle_gamma 120.00
loop_
_atom_site_label
_atom_site_fract_x
_atom_site_fract_y
_atom_site_fract_z
Ba1 0.0000 0.0000 0.0000
Ba2 0.0000 0.0000 0.1458
Ga1 0.0000 0.0000 0.4076
Ga2 0.0000 0.0000 0.7350
Bi1 0.0000 0.0000 0.5844
Bi2 0.0000 0.0000 0.8855
```

Results
For the density of states at the Fermi level, the calculation gives 12.40 states/eV/cell. The calculation puts the energy relative to the lowest polymorph listed for this composition at 207 meV per atom. Its total magnetic moment is 0.00 Bohr magnetons per cell. The value obtained for the formation enthalpy at 0 K is -0.396 eV per atom.

---

No. 8
First-principles (PBE) data for a relaxed Ba2LiNiAg crystal, as listed in Alexandria.

Geometry as CIF:
```
data_Ba2LiNiAg
_space_group_name_H-M_alt 'P 4/m m m'
_space_group_IT_number 123
_space_group_name_Hall '-P 4 2'
_cell_length_a 5.9322
_cell_length_b 5.9322
_cell_length_c 4.7540
_cell_angle_alpha 90.00
_cell_angle_beta 90.00
_cell_angle_gamma 90.00
loop_
_atom_site_label
_atom_site_fract_x
_atom_site_fract_y
_atom_site_fract_z
Ba1 0.0000 0.5000 0.0000
Li1 0.0000 0.0000 0.5000
Ni1 0.0000 0.0000 0.0000
Ag1 0.5000 0.5000 0.5000
```

Results
For the density of states at the Fermi level, the calculation gives 2.86 states/eV/cell. The calculation puts the energy relative to the lowest polymorph listed for this composition at 0 meV per atom. Its total magnetic moment is 0.00 Bohr magnetons per cell. The value obtained for the formation enthalpy at 0 K is 0.047 eV per atom.

---

No. 9
First-principles (PBE) data for a relaxed CdPHCl2 crystal, as listed in Alexandria.

Geometry as CIF:
```
data_CdPHCl2
_space_group_name_H-M_alt 'P 4/m m m'
_space_group_IT_number 123
_space_group_name_Hall '-P 4 2'
_cell_length_a 5.1466
_cell_length_b 5.1466
_cell_length_c 3.5307
_cell_angle_alpha 90.00
_cell_angle_beta 90.00
_cell_angle_gamma 90.00
loop_
_atom_site_label
_atom_site_fract_x
_atom_site_fract_y
_atom_site_fract_z
Cd1 0.0000 0.0000 0.0000
P1 0.5000 0.5000 0.5000
H1 0.5000 0.5000 0.0000
Cl1 0.0000 0.5000 0.5000
```

Results
For the density of states at the Fermi level, the calculation gives 3.16 states/eV/cell. The calculation puts the energy relative to the lowest polymorph listed for this composition at 0 meV per atom. Its total magnetic moment is 0.00 Bohr magnetons per cell.

---

No. 10
First-principles (PBE) data for a relaxed KGaSb2 crystal, as listed in Alexandria.

Geometry as CIF:
```
data_KGaSb2
_space_group_name_H-M_alt 'P 1 2/c 1'
_space_group_IT_number 13
_cell_length_a 6.4880
_cell_length_b 7.3068
_cell_length_c 11.8807
_cell_angle_alpha 90.00
_cell_angle_beta 108.56
_cell_angle_gamma 90.00
loop_
_space_group_symop_operation_xyz
'x,y,z'
'-x,-y,-z'
'-x,y,-z+1/2'
'x,-y,z+1/2'
loop_
_atom_site_label
_atom_site_fract_x
_atom_site_fract_y
_atom_site_fract_z
K1 0.2026 0.2416 0.1458
Ga1 0.2658 0.4058 0.8788
Sb1 0.1457 0.2400 0.6580
Sb2 0.3599 0.2451 0.4764
```

Results
For the density of states at the Fermi level, the calculation gives 2.16 states/eV/cell. Its total magnetic moment is 0.00 Bohr magnetons per cell. The calculation puts the uncorrected formation energy at -178 meV per atom.

---

No. 11
First-principles (PBE) data for a relaxed Pm12GaNi6 crystal, as listed in Alexandria.

Geometry as CIF:
```
data_Pm12GaNi6
_space_group_name_H-M_alt 'I m -3'
_space_group_IT_number 204
_space_group_name_Hall '-I 2 2 3'
_cell_length_a 9.9300
_cell_length_b 9.9300
_cell_length_c 9.9300
_cell_angle_alpha 90.00
_cell_angle_beta 90.00
_cell_angle_gamma 90.00
loop_
_atom_site_label
_atom_site_fract_x
_atom_site_fract_y
_atom_site_fract_z
Pm1 0.0000 0.1855 0.3037
Ga1 0.0000 0.0000 0.0000
Ni1 0.0000 0.3774 0.5000
```

Results
For the density of states at the Fermi level, the calculation gives 30.92 states/eV/cell. The calculation puts the energy relative to the lowest polymorph listed for this composition at 0 meV per atom. Its total magnetic moment is 0.00 Bohr magnetons per cell. The value obtained for the formation enthalpy at 0 K is -0.281 eV per atom.

---

No. 12
First-principles (PBE) data for a relaxed UHg2I8 crystal, as listed in Alexandria.

Geometry as CIF:
```
data_UHg2I8
_space_group_name_H-M_alt 'C 1 2/m 1'
_space_group_IT_number 12
_cell_length_a 14.3916
_cell_length_b 10.6884
_cell_length_c 7.4356
_cell_angle_alpha 90.00
_cell_angle_beta 92.59
_cell_angle_gamma 90.00
loop_
_space_group_symop_operation_xyz
'x,y,z'
'-x,-y,-z'
'-x,y,-z'
'x,-y,z'
'x+1/2,y+1/2,z'
'-x+1/2,-y+1/2,-z'
'-x+1/2,y+1/2,-z'
'x+1/2,-y+1/2,z'
loop_
_atom_site_label
_atom_site_fract_x
_atom_site_fract_y
_atom_site_fract_z
U1 0.0000 0.0000 0.0000
Hg1 0.2292 0.0000 0.1831
I1 0.0891 0.1984 0.2418
I2 0.0950 0.5000 0.6900
I3 0.1744 0.0000 0.7857
```

Results
For the density of states at the Fermi level, the calculation gives 11.71 states/eV/cell. Its total magnetic moment is 4.00 Bohr magnetons per cell. The calculation puts the uncorrected formation energy at -498 meV per atom.